P | DFT (PBE) results for an optimized crystal structure of ZrCrSb2.

a = 4.219 Å, b = 5.356 Å, c = 7.666 Å
α = 90.00°, β = 90.00°, γ = 90.00°
Space group Immm (No. 71)
Symmetry-distinct sites (fractional):
Zr: 0.000 0.000 0.000
Cr: 0.000 0.000 0.500
Sb: 0.000 0.500 0.228

Output
The calculation puts the density of states at the Fermi level at 0.9013 states/eV per atom. The calculated density comes out at 7414 kg/m3.

=====

Q | DFT (PBE) results for an optimized crystal structure of ZrCrSb2.

a = 4.263 Å, b = 5.483 Å, c = 7.469 Å
α = 90.00°, β = 90.00°, γ = 90.00°
Space group Cmmm (No. 65)
Symmetry-distinct sites (fractional):
Zr: 0.000 0.000 0.000
Cr: 0.000 0.000 0.500
Sb: 0.000 0.500 0.269

Output
The calculation puts the density of states at the Fermi level at 0.6944 states/eV per atom. The calculated density comes out at 7357 kg/m3.

=====

R | DFT (PBE) results for an optimized crystal structure of ZrCrSb2.

a = 6.898 Å, b = 6.898 Å, c = 6.898 Å
α = 90.00°, β = 90.00°, γ = 90.00°
Space group F-43m (No. 216)
Symmetry-distinct sites (fractional):
Zr: 0.000 0.000 0.000
Cr: 0.250 0.250 0.250
Sb: 0.000 0.000 0.500
Sb: 0.250 0.250 0.750

Output
The calculation puts the density of states at the Fermi level at 0.7494 states/eV per atom. The calculated density comes out at 7826 kg/m3.

=====

S | DFT (PBE) results for an optimized crystal structure of ZrCrSb2.

a = 3.942 Å, b = 3.942 Å, c = 5.851 Å
α = 90.00°, β = 90.00°, γ = 90.00°
Space group P4mm (No. 99)
Symmetry-distinct sites (fractional):
Zr: 0.000 0.000 0.000
Cr: 0.500 0.500 0.348
Sb: 0.000 0.000 0.483
Sb: 0.500 0.500 0.856

Output
The calculation puts the density of states at the Fermi level at 0.5505 states/eV per atom. The calculated density comes out at 7065 kg/m3.

=====

Q: Which of them is the least stable? A: R.

=====

P | DFT (PBE) results for an optimized crystal structure of ZrCrSb2.

a = 6.832 Å, b = 6.832 Å, c = 6.832 Å
α = 90.00°, β = 90.00°, γ = 90.00°
Space group Fm-3m (No. 225)
Symmetry-distinct sites (fractional):
Zr: 0.000 0.000 0.000
Cr: 0.000 0.000 0.500
Sb: 0.250 0.250 0.250

Output
The calculation puts the density of states at the Fermi level at 0.5951 states/eV per atom. The calculated density comes out at 8054 kg/m3.

=====

Q | DFT (PBE) results for an optimized crystal structure of ZrCrSb2.

a = 7.645 Å, b = 7.645 Å, c = 6.330 Å
α = 90.00°, β = 90.00°, γ = 90.00°
Space group I-42d (No. 122)
Symmetry-distinct sites (fractional):
Zr: 0.000 0.000 0.000
Cr: 0.000 0.000 0.500
Sb: 0.225 0.250 0.625

Output
The calculation puts the density of states at the Fermi level at 0.6345 states/eV per atom. The calculated density comes out at 6942 kg/m3.

=====

Q: Which of them is the least stable? A: P.

=====

P | DFT (PBE) results for an optimized crystal structure of ZrCrSb2.

a = 3.764 Å, b = 3.937 Å, c = 12.021 Å
α = 90.00°, β = 90.00°, γ = 90.00°
Space group Imm2 (No. 44)
Symmetry-distinct sites (fractional):
Zr: 0.000 0.000 0.000
Cr: 0.000 0.500 0.736
Sb: 0.000 0.000 0.411
Sb: 0.000 0.500 0.179

Output
The calculation puts the density of states at the Fermi level at 0.7289 states/eV per atom. The calculated density comes out at 7208 kg/m3.

=====

Q | DFT (PBE) results for an optimized crystal structure of ZrCrSb2.

a = 3.3589 Å, b = 3.3589 Å, c = 26.7933 Å
α = 90.00°, β = 90.00°, γ = 120.00°
Space group R3m (No. 160, hexagonal axes)
Symmetry-distinct sites (fractional):
Zr: 0.0000 0.0000 0.0000
Cr: 0.0000 0.0000 0.2609
Sb: 0.0000 0.0000 0.5275
Sb: 0.0000 0.0000 0.7556

Output
The calculation puts the density of states at the Fermi level at 0.7624 states/eV per atom. The calculated density comes out at 7359 kg/m3.

=====

Q: Which of them is the least stable? A: Q.

=====

P | DFT (PBE) results for an optimized crystal structure of Sc3Cr4.

a = 5.5409 Å, b = 5.5409 Å, c = 4.8410 Å
α = 90.00°, β = 90.00°, γ = 120.00°
Space group P6/mmm (No. 191)
Symmetry-distinct sites (fractional):
Sc: 0.0000 0.5000 0.0000
Cr: 0.0000 0.0000 0.2617
Cr: 0.3333 0.6667 0.5000

Output
The calculation puts the density of states at the Fermi level at 0.8141 states/eV per atom. The calculated density comes out at 4423 kg/m3.

=====

Q | DFT (PBE) results for an optimized crystal structure of Sc3Cr4.

a = 3.047 Å, b = 3.047 Å, c = 24.839 Å
α = 90.00°, β = 90.00°, γ = 90.00°
Space group I4/mmm (No. 139)
Symmetry-distinct sites (fractional):
Sc: 0.000 0.000 0.000
Sc: 0.000 0.000 0.305
Cr: 0.000 0.000 0.122
Cr: 0.000 0.000 0.424

Output
The calculation puts the density of states at the Fermi level at 1.0774 states/eV per atom. The calculated density comes out at 4937 kg/m3.

=====

Q: Which of them is the least stable? A: P.

=====

P | DFT (PBE) results for an optimized crystal structure of Sc5Cr3.

a = 8.0082 Å, b = 8.0082 Å, c = 5.8784 Å
α = 90.00°, β = 90.00°, γ = 120.00°
Space group P6_3/mcm (No. 193)
Symmetry-distinct sites (fractional):
Sc: 0.0000 0.2513 0.2500
Sc: 0.3333 0.6667 0.0000
Cr: 0.0000 0.3988 0.7500

Output
The calculation puts the density of states at the Fermi level at 1.1196 states/eV per atom. The calculated density comes out at 3873 kg/m3.

=====

Q | DFT (PBE) results for an optimized crystal structure of Sc5Cr3.

a = 7.058 Å, b = 9.558 Å, c = 4.712 Å
α = 90.00°, β = 90.00°, γ = 90.00°
Space group Cmmm (No. 65)
Symmetry-distinct sites (fractional):
Sc: 0.000 0.000 0.000
Sc: 0.223 0.500 0.500
Sc: 0.250 0.250 0.000
Cr: 0.000 0.237 0.500
Cr: 0.000 0.500 0.000

Output
The calculation puts the density of states at the Fermi level at 1.1073 states/eV per atom. The calculated density comes out at 3978 kg/m3.

=====

Q: Which of them is the least stable? A: P.

=====

P | DFT (PBE) results for an optimized crystal structure of ScCr5.

a = 4.9728 Å, b = 4.9728 Å, c = 3.9083 Å
α = 90.00°, β = 90.00°, γ = 120.00°
Space group P6/mmm (No. 191)
Symmetry-distinct sites (fractional):
Sc: 0.0000 0.0000 0.0000
Cr: 0.0000 0.5000 0.5000
Cr: 0.3333 0.6667 0.0000

Output
The calculation puts the density of states at the Fermi level at 0.8516 states/eV per atom. The calculated density comes out at 6050 kg/m3.

=====

Q | DFT (PBE) results for an optimized crystal structure of ScCr5.

a = 9.463 Å, b = 2.918 Å, c = 5.926 Å
α = 90.00°, β = 108.67°, γ = 90.00°
Space group C2/m (No. 12)
Symmetry-distinct sites (fractional):
Sc: 0.000 0.000 0.000
Cr: 0.000 0.000 0.500
Cr: 0.175 0.500 0.823
Cr: 0.179 0.500 0.352

Output
The calculation puts the density of states at the Fermi level at 0.9874 states/eV per atom. The calculated density comes out at 6532 kg/m3.

=====

R | DFT (PBE) results for an optimized crystal structure of ScCr5.

a = 6.845 Å, b = 6.845 Å, c = 6.845 Å
α = 90.00°, β = 90.00°, γ = 90.00°
Space group F-43m (No. 216)
Symmetry-distinct sites (fractional):
Sc: 0.000 0.000 0.000
Cr: 0.125 0.125 0.375
Cr: 0.250 0.250 0.750

Output
The calculation puts the density of states at the Fermi level at 0.7547 states/eV per atom. The calculated density comes out at 6317 kg/m3.

=====

Q: Which of them is the least stable? A: Q.

=====

P | DFT (PBE) results for an optimized crystal structure of ScCr4.

a = 4.553 Å, b = 4.553 Å, c = 4.553 Å
α = 90.00°, β = 90.00°, γ = 90.00°
Space group Pm-3m (No. 221)
Symmetry-distinct sites (fractional):
Sc: 0.000 0.000 0.000
Cr: 0.000 0.000 0.500
Cr: 0.500 0.500 0.500

Output
The calculation puts the density of states at the Fermi level at 1.1794 states/eV per atom. The calculated density comes out at 4449 kg/m3.

=====

Q | DFT (PBE) results for an optimized crystal structure of ScCr4.

a = 6.730 Å, b = 6.730 Å, c = 2.934 Å
α = 90.00°, β = 90.00°, γ = 90.00°
Space group I4/m (No. 87)
Symmetry-distinct sites (fractional):
Sc: 0.000 0.000 0.000
Cr: 0.108 0.680 0.500

Output
The calculation puts the density of states at the Fermi level at 1.1311 states/eV per atom. The calculated density comes out at 6323 kg/m3.

=====

Q: Which of them is the least stable? A: P.

=====

P | DFT (PBE) results for an optimized crystal structure of Sc5Cr.

a = 11.216 Å, b = 3.361 Å, c = 7.683 Å
α = 90.00°, β = 111.16°, γ = 90.00°
Space group C2/m (No. 12)
Symmetry-distinct sites (fractional):
Sc: 0.000 0.000 0.000
Sc: 0.141 0.500 0.361
Sc: 0.168 0.500 0.798
Cr: 0.000 0.000 0.500

Output
The calculation puts the density of states at the Fermi level at 1.5078 states/eV per atom. The calculated density comes out at 3403 kg/m3.

=====

Q | DFT (PBE) results for an optimized crystal structure of Sc5Cr.

a = 4.648 Å, b = 12.350 Å, c = 4.696 Å
α = 90.00°, β = 90.00°, γ = 90.00°
Space group Cmmm (No. 65)
Symmetry-distinct sites (fractional):
Sc: 0.000 0.000 0.000
Sc: 0.000 0.151 0.500
Sc: 0.000 0.345 0.000
Cr: 0.000 0.500 0.500

Output
The calculation puts the density of states at the Fermi level at 1.1720 states/eV per atom. The calculated density comes out at 3410 kg/m3.

=====

Q: Which of them is the least stable? A: Q.

=====

P | DFT (PBE) results for an optimized crystal structure of Sc5Cr4.

a = 8.722 Å, b = 8.722 Å, c = 4.390 Å
α = 90.00°, β = 90.00°, γ = 90.00°
Space group I4/mmm (No. 139)
Symmetry-distinct sites (fractional):
Sc: 0.000 0.000 0.000
Sc: 0.176 0.176 0.500
Cr: 0.000 0.356 0.000

Output
The calculation puts the density of states at the Fermi level at 1.3235 states/eV per atom. The calculated density comes out at 4304 kg/m3.

=====

Q | DFT (PBE) results for an optimized crystal structure of Sc5Cr4.

a = 8.1693 Å, b = 8.1693 Å, c = 5.9325 Å
α = 90.00°, β = 90.00°, γ = 120.00°
Space group P6_3/mcm (No. 193)
Symmetry-distinct sites (fractional):
Sc: 0.0000 0.2855 0.2500
Sc: 0.3333 0.6667 0.0000
Cr: 0.0000 0.0000 0.0000
Cr: 0.0000 0.3665 0.7500

Output
The calculation puts the density of states at the Fermi level at 1.0736 states/eV per atom. The calculated density comes out at 4192 kg/m3.

=====

Q: Which of them is the least stable? A: P.

=====

P | DFT (PBE) results for an optimized crystal structure of Sc4Cr.

a = 4.917 Å, b = 4.917 Å, c = 4.917 Å
α = 90.00°, β = 90.00°, γ = 90.00°
Space group Pm-3m (No. 221)
Symmetry-distinct sites (fractional):
Sc: 0.000 0.000 0.000
Sc: 0.000 0.500 0.500
Cr: 0.500 0.500 0.500

Output
The calculation puts the density of states at the Fermi level at 1.3391 states/eV per atom. The calculated density comes out at 3238 kg/m3.

=====

Q | DFT (PBE) results for an optimized crystal structure of Sc4Cr.

a = 3.870 Å, b = 3.870 Å, c = 16.099 Å
α = 90.00°, β = 90.00°, γ = 90.00°
Space group I4/mmm (No. 139)
Symmetry-distinct sites (fractional):
Sc: 0.000 0.000 0.090
Sc: 0.000 0.500 0.250
Cr: 0.000 0.000 0.500

Output
The calculation puts the density of states at the Fermi level at 1.3492 states/eV per atom. The calculated density comes out at 3193 kg/m3.

=====

Q: Which of them is the least stable? A: Q.

=====

P | DFT (PBE) results for an optimized crystal structure of ScCr3Se.

a = 4.425 Å, b = 4.425 Å, c = 4.425 Å
α = 90.00°, β = 90.00°, γ = 90.00°
Space group Pm-3m (No. 221)
Symmetry-distinct sites (fractional):
Sc: 0.000 0.000 0.000
Cr: 0.000 0.000 0.500
Se: 0.500 0.500 0.500

Output
The calculation puts the density of states at the Fermi level at 2.1625 states/eV per atom. The calculated density comes out at 5363 kg/m3.

=====

Q | DFT (PBE) results for an optimized crystal structure of ScCr3Se.

a = 4.507 Å, b = 4.507 Å, c = 4.507 Å
α = 90.00°, β = 90.00°, γ = 90.00°
Space group Pm-3m (No. 221)
Symmetry-distinct sites (fractional):
Sc: 0.000 0.000 0.000
Cr: 0.000 0.500 0.500
Se: 0.500 0.500 0.500

Output
The calculation puts the density of states at the Fermi level at 0.6584 states/eV per atom. The calculated density comes out at 5075 kg/m3.

=====

Q: Which of them is the least stable? A: P.